Entry 1:
3
Lattice="6.200 0.000 0.000 3.100 5.369 0.000 3.100 1.790 5.062" Properties=species:S:1:pos:R:3 comment="BaCaLa (GGA-PBE, relaxed)" relative_energy_mev_per_atom=565 spacegroup="F-43m (216)" magnetic_moment_mub_per_fu=2.06 ef_ev_per_atom=0.647 pbc="T T T"
La 0.000 0.000 0.000
Ca 9.300 5.369 3.797
Ba 6.200 3.580 2.531

Entry 2:
18
Lattice="-1.911 -7.880 2.534 7.936 -1.005 2.857 -5.159 7.191 4.231" Properties=species:S:1:pos:R:3 comment="Pm2YEr5Sc (GGA-PBE, relaxed)" spacegroup="I4/mcm (140)" magnetic_moment_mub_per_fu=0.00 ef_ev_per_atom=0.276 pbc="T T T"
Y 1.940 -3.068 6.159
Y -1.073 1.374 3.464
Er 0.676 4.053 4.820
Er 0.491 -1.725 3.300
Er 0.000 0.000 0.000
Er 0.376 0.031 6.322
Er -3.750 -0.117 5.103
Er 0.191 -5.748 4.803
Er -3.450 3.906 3.600
Er 4.316 -5.600 6.023
Er 3.013 -4.442 2.696
Er 4.617 -1.577 4.520
Pm 3.231 -7.563 4.001
Pm -0.237 -4.999 1.910
Pm 2.795 -1.322 1.390
Pm 6.263 -3.886 3.482
Sc 2.895 0.871 4.892
Sc -2.028 -2.566 4.731

Entry 3:
5
Lattice="3.845 0.000 -2.165 -1.124 4.258 -1.996 -0.129 0.120 4.268" Properties=species:S:1:pos:R:3 comment="TaCu2Rh2 (GGA-PBE, relaxed)" relative_energy_mev_per_atom=0 spacegroup="C2/m (12)" magnetic_moment_mub_per_fu=0.00 ef_ev_per_atom=-0.156 pbc="T T T"
Ta 1.858 0.060 1.052
Cu -0.606 3.370 1.173
Cu 3.198 1.009 -1.066
Rh 1.900 2.803 1.127
Rh 0.692 1.576 -1.020

Entry 4:
12
Lattice="-5.350 3.016 0.418 1.256 -4.589 3.906 6.180 8.063 5.873" Properties=species:S:1:pos:R:3 comment="Tb2Sm3YEr6 (GGA-PBE, relaxed)" spacegroup="C2/m (12)" magnetic_moment_mub_per_fu=0.00 ef_ev_per_atom=0.019 pbc="T T T"
Tb -0.947 -2.054 2.743
Tb -3.148 0.480 1.581
Er 2.677 3.610 8.239
Er -1.532 0.825 4.699
Er -0.592 2.879 1.958
Er 3.617 5.664 5.497
Er 1.614 0.340 3.123
Er 0.471 6.150 7.074
Sm 3.245 0.710 6.261
Sm 1.043 3.245 5.098
Sm -1.159 5.779 3.936
Y 0.000 0.000 0.000

no.,N(E_F) (states/eV/atom),E_tot (eV/atom)
1,2.14,-2.303
2,1.31,-4.737
3,0.69,-7.106
4,1.30,-4.753